# MgTl2Hg GGA-PBEsol relaxed
# Energy relative to the elements = -60 meV/atom
# Fermi-level density of states = 1.54 states/eV/f.u.
data_MgTl2Hg
_cell_length_a 3.4088
_cell_length_b 3.4088
_cell_length_c 29.9243
_cell_angle_alpha 90.00
_cell_angle_beta 90.00
_cell_angle_gamma 120.00
_space_group_name_H-M_alt 'R 3 m'
_space_group_IT_number 160
_space_group_name_Hall 'R 3 -2"'
loop_
_atom_site_label
_atom_site_fract_x
_atom_site_fract_y
_atom_site_fract_z
Mg1 0.0000 0.0000 0.0000
Tl1 0.0000 0.0000 0.5092
Tl2 0.0000 0.0000 0.7494
Hg1 0.0000 0.0000 0.2618